a | # LaPS3

Crystalline LaPS3 at its relaxed geometry (PBE-GGA, Alexandria via LeMat-Bulk).

Cell and atoms, written as POSCAR:
```
LaPS3
1.0
-3.711 3.329 -3.075
-6.689 -3.577 4.201
0.623 6.469 6.501
S La P
12 4 4
Direct
0.844 0.331 0.045
0.414 0.525 0.264
0.376 0.155 0.923
0.624 0.845 0.077
0.124 0.655 0.577
0.656 0.831 0.455
0.586 0.475 0.736
0.156 0.669 0.955
0.914 0.975 0.764
0.344 0.169 0.545
0.086 0.025 0.236
0.876 0.345 0.423
0.569 0.129 0.247
0.931 0.629 0.253
0.431 0.871 0.753
0.069 0.371 0.747
0.030 0.116 0.444
0.470 0.616 0.056
0.970 0.884 0.556
0.530 0.384 0.944
```

Total magnetic moment   0.00 μB per cell
ρ   3.79 g/cm3
Space group   P2_1/c, No. 14

---

b | # LaPS3

Crystalline LaPS3 at its relaxed geometry (PBE-GGA, Alexandria via LeMat-Bulk).

Cell and atoms, written as POSCAR:
```
LaPS3
1.0
5.476 0.000 0.000
0.000 5.476 0.000
0.000 0.000 5.476
La S P
1 3 1
Direct
0.000 0.000 0.000
0.500 0.000 0.000
0.000 0.500 0.000
0.000 0.000 0.500
0.500 0.500 0.500
```

Total magnetic moment   0.00 μB per cell
ρ   2.69 g/cm3
Space group   Pm-3m, No. 221

---

c | # LaPS3

Crystalline LaPS3 at its relaxed geometry (PBE-GGA, Alexandria via LeMat-Bulk).

Cell and atoms, written as POSCAR:
```
LaPS3
1.0
4.638 0.000 0.000
0.000 4.638 0.000
0.000 0.000 4.638
S P La
3 1 1
Direct
0.000 0.000 0.500
0.000 0.500 0.000
0.500 0.000 0.000
0.000 0.000 0.000
0.500 0.500 0.500
```

Total magnetic moment   0.00 μB per cell
ρ   4.43 g/cm3
Space group   Pm-3m, No. 221

---

Pick the least stable structure from those above. Pick: b